[1]
PuTlPbBr6 after structural relaxation. Source: Alexandria via LeMat-Bulk, functional PBE.

Output
Uncorrected formation energy ... -1.18 eV/atom
Space group ... P-31c

Cell lengths 7.7410, 7.7410, 14.0967 Å; angles 90.00, 90.00, 120.00 degrees
Element x y z (fractional)
Pu 0.6667 0.3333 0.2500
Pu 0.3333 0.6667 0.7500
Tl 0.0000 0.0000 0.0000
Tl 0.0000 0.0000 0.5000
Pb 0.3333 0.6667 0.2500
Pb 0.6667 0.3333 0.7500
Br 0.6459 0.6296 0.1336
Br 0.9837 0.3541 0.1336
Br 0.3541 0.9837 0.6336
Br 0.0163 0.6459 0.8664
Br 0.3704 0.3541 0.3664
Br 0.9837 0.6296 0.3664
Br 0.6296 0.9837 0.8664
Br 0.6459 0.0163 0.3664
Br 0.0163 0.3704 0.6336
Br 0.3704 0.0163 0.1336
Br 0.6296 0.6459 0.6336
Br 0.3541 0.3704 0.8664

[2]
LaFeSe2 after structural relaxation. Source: Alexandria via LeMat-Bulk, functional PBE.

Output
Energy relative to the lowest polymorph listed for this composition ... 0 meV/atom
Uncorrected formation energy ... -1.01 eV/atom
Space group ... Pm

Cell lengths 4.4210, 4.0573, 5.9855 Å; angles 70.15, 90.00, 90.00 degrees
Element x y z (fractional)
Fe 0.0000 0.3214 0.4839
La 0.5000 0.6771 0.7698
Se 0.0000 0.1071 0.9100
Se 0.5000 0.3944 0.3363

[3]
ZrTa2As after structural relaxation. Source: Alexandria via LeMat-Bulk, functional PBE.

Output
E_tot ... -9.24 eV per atom
Space group ... R-3m

Cell lengths 8.6332, 8.6332, 8.6332 Å; angles 21.85, 21.85, 21.85 degrees
Element x y z (fractional)
As 0.7500 0.7500 0.7500
Zr 0.2500 0.2500 0.2500
Ta 0.0104 0.0104 0.0104
Ta 0.4896 0.4896 0.4896

[4]
HfAgOs2 after structural relaxation. Source: Alexandria via LeMat-Bulk, functional PBE.

Output
Energy relative to the lowest polymorph listed for this composition ... 0 meV/atom
Space group ... Fm-3m

Cell lengths 4.5438, 4.5438, 4.5438 Å; angles 60.00, 60.00, 60.00 degrees
Element x y z (fractional)
Hf 0.5000 0.5000 0.5000
Os 0.2500 0.2500 0.2500
Os 0.7500 0.7500 0.7500
Ag 0.0000 0.0000 0.0000

[5]
Pm4Sn2Pb after structural relaxation. Source: Alexandria via LeMat-Bulk, functional PBE.

Output
E_tot ... -4.69 eV per atom
Space group ... I4/mmm

Cell lengths 5.9908, 5.9908, 7.6891 Å; angles 112.93, 112.93, 90.00 degrees
Element x y z (fractional)
Pm 0.7500 0.2500 0.5000
Pm 0.2500 0.7500 0.5000
Pm 0.5000 0.0000 0.0000
Pm 0.0000 0.5000 0.0000
Sn 0.6271 0.6271 0.2542
Sn 0.3729 0.3729 0.7458
Pb 0.0000 0.0000 0.0000

[6]
TbBiPd6 after structural relaxation. Source: Alexandria via LeMat-Bulk, functional PBE.

Output
Energy relative to the lowest polymorph listed for this composition ... 273 meV/atom
Space group ... C2/m

Cell lengths 5.0173, 5.0173, 7.3644 Å; angles 74.33, 74.33, 66.70 degrees
Element x y z (fractional)
Tb 0.5000 0.5000 0.5000
Bi 0.0000 0.0000 0.0000
Pd 0.0594 0.5396 0.3015
Pd 0.5396 0.0594 0.3015
Pd 0.4604 0.9406 0.6985
Pd 0.9406 0.4604 0.6985
Pd 0.3526 0.3526 0.9425
Pd 0.6474 0.6474 0.0575

[7]
Ce4PuHg2 after structural relaxation. Source: Alexandria via LeMat-Bulk, functional PBE.

Output
E_tot ... -5.66 eV per atom
Space group ... Pbam

Cell lengths 3.8455, 8.5558, 11.6932 Å; angles 90.00, 90.00, 90.00 degrees
Element x y z (fractional)
Ce 0.0000 0.6395 0.8190
Ce 0.0000 0.3605 0.1810
Ce 0.0000 0.1395 0.6810
Ce 0.0000 0.8605 0.3190
Ce 0.5000 0.8259 0.5680
Ce 0.5000 0.1741 0.4320
Ce 0.5000 0.6741 0.0680
Ce 0.5000 0.3259 0.9320
Pu 0.0000 0.0000 0.5000
Pu 0.0000 0.5000 0.0000
Hg 0.5000 0.9505 0.8650
Hg 0.5000 0.0495 0.1350
Hg 0.5000 0.4505 0.6350
Hg 0.5000 0.5495 0.3650

[8]
ReOs3Pt after structural relaxation. Source: Alexandria via LeMat-Bulk, functional PBE.

Output
Energy relative to the lowest polymorph listed for this composition ... 701 meV/atom
Space group ... Pm-3m

Cell lengths 4.6473, 4.6473, 4.6473 Å; angles 90.00, 90.00, 90.00 degrees
Element x y z (fractional)
Re 0.5000 0.5000 0.5000
Os 0.0000 0.5000 0.0000
Os 0.0000 0.0000 0.5000
Os 0.5000 0.0000 0.0000
Pt 0.0000 0.0000 0.0000